1.
Cd2Tc2Sb after structural relaxation. Source: the Alexandria database, functional PBE-GGA.

abc: 6.6310 6.6310 4.5333
angles: 90.00 90.00 90.00
Sites, in units of the cell vectors:
Sb: 0.0000 0.0000 0.0000
Sb: 0.5000 0.5000 0.0000
Tc: 0.3730 0.8730 0.0000
Tc: 0.8730 0.6270 0.0000
Tc: 0.6270 0.1270 0.0000
Tc: 0.1270 0.3730 0.0000
Cd: 0.1672 0.6672 0.5000
Cd: 0.6672 0.8328 0.5000
Cd: 0.8328 0.3328 0.5000
Cd: 0.3328 0.1672 0.5000

Summary:
Density of states at the Fermi level = 9.7 states/eV per cell
ΔE_f (raw) = 0.26 eV per atom

---

2.
CdTc2Sb2 after structural relaxation. Source: the Alexandria database, functional PBE-GGA.

abc: 7.6147 7.6147 3.2852
angles: 90.00 90.00 90.00
Sites, in units of the cell vectors:
Sb: 0.1517 0.6517 0.5000
Sb: 0.6517 0.8483 0.5000
Sb: 0.8483 0.3483 0.5000
Sb: 0.3483 0.1517 0.5000
Tc: 0.3566 0.8566 0.0000
Tc: 0.8566 0.6434 0.0000
Tc: 0.6434 0.1434 0.0000
Tc: 0.1434 0.3566 0.0000
Cd: 0.0000 0.0000 0.0000
Cd: 0.5000 0.5000 0.0000

Summary:
Polymorph energy (0 for the lowest one) = 0 meV/atom
Density of states at the Fermi level = 7.2 states/eV per cell
ΔE_f (raw) = 0.16 eV per atom

---

3.
CdTc2Sb after structural relaxation. Source: the Alexandria database, functional PBE-GGA.

abc: 3.1766 5.0041 4.5227
angles: 90.00 90.00 90.00
Last column: magnetic moment on the atom in μB.
Sites, in units of the cell vectors:
Cd: 0.5000 0.0000 0.5000  0.00
Sb: 0.0000 0.5000 0.5000  -0.01
Tc: 0.0000 0.0000 0.0000  0.81
Tc: 0.5000 0.5000 0.0000  0.35

Summary:
Polymorph energy (0 for the lowest one) = 508 meV/atom
Density of states at the Fermi level = 4.5 states/eV per cell
ΔE_f (raw) = 0.64 eV per atom

---

4.
Cd2TcSb after structural relaxation. Source: the Alexandria database, functional PBE-GGA.

abc: 5.2396 5.2396 3.3475
angles: 90.00 90.00 116.76
Last column: magnetic moment on the atom in μB.
Sites, in units of the cell vectors:
Cd: 0.0000 0.0000 0.0000  -0.01
Cd: 0.5000 0.5000 0.0000  -0.01
Sb: 0.5000 0.0000 0.5000  -0.01
Tc: 0.0000 0.5000 0.5000  0.86

Summary:
Density of states at the Fermi level = 2.7 states/eV per cell
ΔE_f (raw) = 0.44 eV per atom

---

| no. | total magnetization (μB/f.u.) |
| --- | --- |
| 1 | 0.00 |
| 2 | 0.00 |
| 3 | 1.23 |
| 4 | 0.91 |